{
  "formula": "NaFeH4",
  "functional": "PBE",
  "state": "optimized geometry",
  "lattice": [[2.750, -4.512, 0.000], [2.750, 4.512, 0.000], [-1.251, 0.000, 4.448]],
  "species": ["Na", "Na", "Fe", "Fe", "H", "H", "H", "H", "H", "H", "H", "H"],
  "fractional_positions": [[0.152, 0.848, 0.750], [0.848, 0.152, 0.250], [0.495, 0.505, 0.750], [0.505, 0.495, 0.250], [0.227, 0.339, 0.930], [0.291, 0.548, 0.471], [0.339, 0.227, 0.430], [0.452, 0.709, 0.029], [0.548, 0.291, 0.971], [0.661, 0.773, 0.570], [0.709, 0.452, 0.529], [0.773, 0.661, 0.070]],
  "n_ef_per_ev_cell": 1.7,
  "spacegroup": "C2/c",
  "energy_ev_per_cell": -46.520
}